[1]
NbNiSn after structural relaxation. Source: Alexandria, functional PBE.

Structure (extended XYZ):
```
3
Lattice="-0.501 2.570 1.571 -2.120 0.830 -2.034 -2.462 -4.212 3.139" Properties=species:S:1:pos:R:3 pbc="T T T"
Sn -2.262 -1.507 1.743
Nb -2.066 1.197 0.350
Ni -4.707 -0.562 2.386
```

Values from the calculation:
spin magnetization: 0.000 μB/f.u.
crystal system: tetragonal
total DFT energy (no corrections): -20.1 eV for the cell shown
symmetry: I4mm, No. 107

=====

[2]
GePt3Se after structural relaxation. Source: Alexandria, functional PBE.

Structure (extended XYZ):
```
5
Lattice="4.726 0.000 0.000 0.000 4.726 0.000 0.000 0.000 4.726" Properties=species:S:1:pos:R:3 pbc="T T T"
Ge 2.363 2.363 2.363
Pt 0.000 2.363 0.000
Pt 0.000 0.000 2.363
Pt 2.363 0.000 0.000
Se 0.000 0.000 0.000
```

Values from the calculation:
spin magnetization: 0.000 μB/f.u.
crystal system: cubic
symmetry: Pm-3m, No. 221
uncorrected formation energy: 562.0 meV/atom
polymorph energy (0 for the lowest one): 0 meV per atom

=====

[3]
SmAs3Rh5 after structural relaxation. Source: Alexandria, functional PBE.

Structure (extended XYZ):
```
18
Lattice="3.962 0.000 0.000 -1.981 6.318 0.000 0.000 0.000 12.567" Properties=species:S:1:pos:R:3 pbc="T T T"
Rh 0.000 0.000 6.284
Rh 1.981 0.702 8.067
Rh 0.000 2.578 7.234
Rh 1.981 3.739 5.333
Rh 0.000 5.616 1.784
Rh 0.000 0.000 0.000
Rh 1.981 3.739 0.950
Rh 0.000 2.578 11.617
Rh 0.000 5.616 4.500
Rh 1.981 0.702 10.784
Sm 0.000 1.759 3.142
Sm 1.981 4.559 9.425
As 0.000 1.451 9.425
As 0.000 4.864 6.852
As 1.981 4.867 3.142
As 0.000 4.864 11.999
As 1.981 1.453 0.568
As 1.981 1.453 5.715
```

Values from the calculation:
spin magnetization: 0.000 μB/f.u.
crystal system: orthorhombic
total DFT energy (no corrections): -121.8 eV for the cell shown
symmetry: Cmcm, No. 63

=====

[4]
Ce2PrScBi5 after structural relaxation. Source: Alexandria, functional PBE.

Structure (extended XYZ):
```
9
Lattice="5.690 0.000 0.000 0.000 5.690 0.000 0.000 0.000 11.537" Properties=species:S:1:pos:R:3 pbc="T T T"
Ce 2.845 2.845 3.385
Ce 2.845 2.845 8.152
Pr 0.000 0.000 5.769
Bi 0.000 2.845 5.769
Bi 2.845 0.000 5.769
Bi 0.000 0.000 2.725
Bi 2.845 2.845 0.000
Bi 0.000 0.000 8.812
Sc 0.000 0.000 0.000
```

Values from the calculation:
spin magnetization: 2.059 μB/f.u.
crystal system: tetragonal
total DFT energy (no corrections): -41.8 eV for the cell shown
symmetry: P4/mmm, No. 123

=====

[5]
Cs3K2Rb2 after structural relaxation. Source: Alexandria, functional PBE.

Structure (extended XYZ):
```
7
Lattice="5.035 -0.021 0.024 2.476 8.363 -0.340 -0.053 -1.641 16.097" Properties=species:S:1:pos:R:3 pbc="T T T"
Cs 2.476 8.363 -0.340
Cs 2.523 4.117 2.453
Cs 4.936 2.583 13.329
K 5.021 0.375 4.926
K 2.438 6.325 10.856
Rb 4.991 5.193 6.864
Rb 2.468 1.507 8.918
```

Values from the calculation:
spin magnetization: 0.000 μB/f.u.
crystal system: triclinic
total DFT energy (no corrections): -6.6 eV for the cell shown
symmetry: P-1, No. 2

=====

[6]
Cu2HgP after structural relaxation. Source: Alexandria, functional PBE.

Structure (extended XYZ):
```
4
Lattice="-4.304 2.476 0.886 -4.164 -2.102 -1.920 3.896 -1.587 2.784" Properties=species:S:1:pos:R:3 pbc="T T T"
Cu 0.000 0.000 0.000
Cu -2.251 -1.751 0.173
Hg -4.234 0.187 -0.517
P -2.321 0.538 1.577
```

Values from the calculation:
spin magnetization: 0.000 μB/f.u.
crystal system: tetragonal
total DFT energy (no corrections): -12.6 eV for the cell shown
symmetry: I-4m2, No. 119

=====

[7]
Tl2Sn3Se6 after structural relaxation. Source: Alexandria, functional PBE.

Structure (extended XYZ):
```
11
Lattice="6.639 0.000 2.041 3.320 6.072 1.020 0.045 0.000 8.195" Properties=species:S:1:pos:R:3 pbc="T T T"
Tl 6.662 2.043 6.138
Tl 3.342 4.029 5.118
Se 4.929 4.127 8.000
Se 5.075 1.944 3.256
Se 1.694 0.000 2.212
Se 1.609 1.944 6.980
Se 8.395 4.127 4.276
Se 4.990 0.000 8.023
Sn 0.000 0.000 0.000
Sn 6.639 4.017 2.041
Sn 3.320 2.055 1.020
```

Values from the calculation:
spin magnetization: 0.000 μB/f.u.
crystal system: monoclinic
symmetry: C2/m, No. 12
uncorrected formation energy: -375.5 meV/atom

=====

[8]
Pm4GePbC after structural relaxation. Source: Alexandria, functional PBE.

Structure (extended XYZ):
```
14
Lattice="6.963 0.000 0.000 0.000 6.967 0.000 -3.481 0.000 8.075" Properties=species:S:1:pos:R:3 pbc="T T T"
Ge 0.000 1.742 1.868
Ge 3.481 5.225 6.208
Pm 3.481 1.742 6.779
Pm 0.000 5.225 1.297
Pm 0.000 5.225 6.630
Pm 1.741 0.000 4.038
Pm 3.481 1.742 1.446
Pm -1.741 0.000 4.038
Pm 1.741 3.484 4.038
Pm -1.741 3.484 4.038
C 0.000 5.225 4.010
C 3.481 1.742 4.066
Pb 0.000 1.742 6.332
Pb 3.481 5.225 1.743
```

Values from the calculation:
spin magnetization: 0.000 μB/f.u.
crystal system: orthorhombic
total DFT energy (no corrections): -79.7 eV for the cell shown
symmetry: Cmcm, No. 63